This record from Alexandria describes a geometry-optimized TbCd structure. The functional is PBE-GGA. Values from VASP.

Space-group type ... Pm-3m
ΔE_f ... -0.32 eV/atom
Energy ... -6.18 eV for the cell shown

The structure in Quantum ESPRESSO input format:
```
&SYSTEM
  ibrav = 0, nat = 2, ntyp = 2
/
ATOMIC_SPECIES
Tb 158.93 Tb.upf
Cd 112.41 Cd.upf
ATOMIC_POSITIONS angstrom
Tb 0.0000 0.0000 0.0000
Cd 1.8795 1.8795 1.8795
CELL_PARAMETERS angstrom
3.7591 0.0000 0.0000
0.0000 3.7591 0.0000
0.0000 0.0000 3.7591
```